Entry from Alexandria via LeMat-Bulk: crystalline MnSbAu3 at its relaxed geometry (GGA-PBEsol).

Lattice parameters (Å, degrees): 5.0964 5.0964 5.0964 90.00 90.00 90.00
With the nearest neighbours (Å) after each atom.
Fractional positions:
Sb1 0.0000 0.0000 0.0000  6 Au 2.55
Au1 0.5000 0.0000 0.0000  2 Sb 2.55
Au2 0.0000 0.5000 0.0000  2 Sb 2.55
Au3 0.0000 0.0000 0.5000  2 Sb 2.55
Mn1 0.5000 0.5000 0.5000  12 Au 3.60

Values from the calculation:
space group	Pm-3m (221)
DFT total energy	-4.2796	eV/atom

=====

Entry from Alexandria via LeMat-Bulk: crystalline HfAg at its relaxed geometry (GGA-PBEsol).

Lattice parameters (Å, degrees): 3.3889 3.3889 6.5108 90.00 90.00 90.00
With the nearest neighbours (Å) after each atom.
Fractional positions:
Ag1 0.5000 0.0000 0.6151  4 Ag 2.83, 5 Hf 2.87-3.08
Ag2 0.0000 0.5000 0.3849  4 Ag 2.83, 5 Hf 2.87-3.08
Hf1 0.0000 0.5000 0.8584  5 Ag 2.87-3.08, 4 Hf 3.02
Hf2 0.5000 0.0000 0.1416  5 Ag 2.87-3.08, 4 Hf 3.02

Values from the calculation:
space group	P4/nmm (129)
DFT total energy	-7.0571	eV/atom

=====

Entry from Alexandria via LeMat-Bulk: crystalline K2InCuCl6 at its relaxed geometry (GGA-PBEsol).

Lattice parameters (Å, degrees): 7.0312 7.0312 7.0312 60.00 60.00 60.00
With the nearest neighbours (Å) after each atom.
Fractional positions:
Cl1 0.7449 0.7449 0.2551  1 Cu 2.44, 1 In 2.54
Cl2 0.7449 0.2551 0.7449  1 Cu 2.44, 1 In 2.54
Cl3 0.2551 0.7449 0.7449  1 Cu 2.44, 1 In 2.54
Cl4 0.7449 0.2551 0.2551  1 Cu 2.44, 1 In 2.54
Cl5 0.2551 0.7449 0.2551  1 Cu 2.44, 1 In 2.54
Cl6 0.2551 0.2551 0.7449  1 Cu 2.44, 1 In 2.54
Cu1 0.5000 0.5000 0.5000  6 Cl 2.44
K1 0.2500 0.2500 0.2500  12 Cl 3.52
K2 0.7500 0.7500 0.7500  12 Cl 3.52
In1 0.0000 0.0000 0.0000  6 Cl 2.54

Values from the calculation:
space group	Fm-3m (225)
DFT total energy	-3.4573	eV/atom

=====

Entry from Alexandria via LeMat-Bulk: crystalline V3GaN at its relaxed geometry (GGA-PBEsol).

Lattice parameters (Å, degrees): 2.9273 5.2684 7.8247 90.00 90.00 106.13
With the nearest neighbours (Å) after each atom.
Fractional positions:
V1 0.0337 0.0675 0.2500  2 N 1.99
V2 0.6263 0.2526 0.5411  2 N 1.97
V3 0.3737 0.7474 0.4589  2 N 1.97
V4 0.3737 0.7474 0.0411  2 N 1.97
V5 0.6263 0.2526 0.9589  2 N 1.97
V6 0.9663 0.9325 0.7500  2 N 1.99
N1 0.0000 0.0000 0.5000  6 V 1.97-1.99
N2 0.0000 0.0000 0.0000  6 V 1.97-1.99
Ga1 0.2567 0.5133 0.7500  8 V 2.56-2.58
Ga2 0.7433 0.4867 0.2500  8 V 2.56-2.58

Values from the calculation:
space group	Cmcm (63)
DFT total energy	-8.9520	eV/atom

=====

Entry from Alexandria via LeMat-Bulk: crystalline Sr3Ga4Ir4 at its relaxed geometry (GGA-PBEsol).

Lattice parameters (Å, degrees): 6.6811 6.6811 6.6811 109.47 109.47 109.47
With the nearest neighbours (Å) after each atom.
Fractional positions:
Ga1 0.3853 0.0000 0.0000  4 Ir 2.41-2.57
Ga2 0.0000 0.0000 0.3853  4 Ir 2.41-2.57
Ga3 0.0000 0.3853 0.0000  4 Ir 2.41-2.57
Ga4 0.6147 0.6147 0.6147  4 Ir 2.41-2.57
Sr1 0.5000 0.5000 0.0000  4 Ga 3.17, 4 Ir 3.19
Sr2 0.0000 0.5000 0.5000  4 Ga 3.17, 4 Ir 3.19
Sr3 0.5000 0.0000 0.5000  4 Ga 3.17, 4 Ir 3.19
Ir1 0.2538 0.2538 0.2538  4 Ga 2.41-2.57
Ir2 0.0000 0.7462 0.0000  4 Ga 2.41-2.57
Ir3 0.7462 0.0000 0.0000  4 Ga 2.41-2.57
Ir4 0.0000 0.0000 0.7462  4 Ga 2.41-2.57

Values from the calculation:
space group	I-43m (217)
DFT total energy	-5.8262	eV/atom

=====

Entry from Alexandria via LeMat-Bulk: crystalline Mg2CoCl at its relaxed geometry (GGA-PBEsol).

Lattice parameters (Å, degrees): 3.0112 4.4051 5.9861 111.59 104.57 90.00
With the nearest neighbours (Å) after each atom.
Fractional positions:
Mg1 0.7523 0.2523 0.5046  4 Co 2.67, 2 Cl 2.96
Mg2 0.9414 0.9414 0.8827  2 Co 2.65
Co1 0.2383 0.7383 0.4767  2 Cl 2.37, 2 Mg 2.65
Cl1 0.5680 0.5680 0.1360  2 Co 2.37

Values from the calculation:
space group	Imm2 (44)
DFT total energy	-3.3781	eV/atom

=====

Entry from Alexandria via LeMat-Bulk: crystalline KSbO3 at its relaxed geometry (GGA-PBEsol).

Lattice parameters (Å, degrees): 7.4375 7.4375 7.4375 60.00 60.00 60.00
With the nearest neighbours (Å) after each atom.
Fractional positions:
Sb1 0.6250 0.1250 0.6250  6 O 2.00
Sb2 0.6250 0.6250 0.6250  6 O 2.00
Sb3 0.1250 0.6250 0.6250  6 O 2.00
Sb4 0.6250 0.6250 0.1250  6 O 2.00
K1 0.1250 0.1250 0.6250  6 O 2.64
K2 0.1250 0.6250 0.1250  6 O 2.64
K3 0.1250 0.1250 0.1250  6 O 2.64
K4 0.6250 0.1250 0.1250  6 O 2.64
O1 0.3038 0.6962 0.6962  2 Sb 2.00
O2 0.6962 0.3038 0.3038  2 Sb 2.00
O3 0.9462 0.9462 0.5538  2 Sb 2.00
O4 0.6962 0.6962 0.3038  2 Sb 2.00
O5 0.9462 0.5538 0.9462  2 Sb 2.00
O6 0.3038 0.6962 0.3038  2 Sb 2.00
O7 0.5538 0.9462 0.9462  2 Sb 2.00
O8 0.6962 0.3038 0.6962  2 Sb 2.00
O9 0.9462 0.5538 0.5538  2 Sb 2.00
O10 0.3038 0.3038 0.6962  2 Sb 2.00
O11 0.5538 0.5538 0.9462  2 Sb 2.00
O12 0.5538 0.9462 0.5538  2 Sb 2.00

Values from the calculation:
space group	Fd-3m (227)
DFT total energy	-5.9221	eV/atom

=====

Entry from Alexandria via LeMat-Bulk: crystalline Rb3GaBi at its relaxed geometry (GGA-PBEsol).

Lattice parameters (Å, degrees): 7.0310 7.0310 7.0310 90.00 90.00 90.00
With the nearest neighbours (Å) after each atom.
Fractional positions:
Rb1 0.0000 0.5000 0.0000  2 Bi 3.52
Rb2 0.0000 0.0000 0.5000  2 Bi 3.52
Rb3 0.5000 0.0000 0.0000  2 Bi 3.52
Ga1 0.5000 0.5000 0.5000  12 Rb 4.97
Bi1 0.0000 0.0000 0.0000  6 Rb 3.52

Values from the calculation:
space group	Pm-3m (221)
DFT total energy	-1.8365	eV/atom